# 1
MnP3N: relaxed, PBE.

```
MnP3N
1.0
4.229 0.000 0.000
0.000 4.229 0.000
0.000 0.000 4.229
Mn P N
1 3 1
Cartesian
0.000 0.000 0.000 Mn
0.000 0.000 2.114 P
0.000 2.114 0.000 P
2.114 0.000 0.000 P
2.114 2.114 2.114 N
```

Summary:
E_form (uncorrected) ... 29.8 kcal/mol of atoms
Size of the total moment ... 0.0 Bohr magnetons per cell
Symmetry ... Pm-3m, No. 221
Crystal system ... cubic
Polymorph energy (0 for the lowest one) ... 0.3399 eV per atom

# 2
LaCdGePt2: relaxed, PBE.

```
LaCdGePt2
1.0
4.146 0.000 0.000
0.000 4.588 0.000
0.000 0.000 5.661
La Cd Ge Pt
1 1 1 2
Cartesian
0.000 0.000 0.000 La
2.073 0.000 2.831 Cd
0.000 2.294 2.831 Ge
2.073 2.294 1.318 Pt
2.073 2.294 4.344 Pt
```

Summary:
Size of the total moment ... 0.0 Bohr magnetons per cell
Symmetry ... Pmmm, No. 47
Crystal system ... orthorhombic
Formation energy from the elements ... -0.711 eV per atom
Polymorph energy (0 for the lowest one) ... 0.0631 eV per atom

# 3
CdRu5: relaxed, PBE.

```
CdRu5
1.0
4.416 0.000 0.000
0.000 2.778 0.000
0.000 0.000 14.508
Cd Ru
2 10
Cartesian
0.000 0.000 0.000 Cd
0.000 1.389 7.254 Cd
0.000 0.000 4.707 Ru
0.000 0.000 9.773 Ru
0.000 1.389 2.519 Ru
0.000 1.389 11.962 Ru
2.208 0.000 1.660 Ru
2.208 0.000 6.327 Ru
2.208 0.000 11.267 Ru
2.208 1.389 4.013 Ru
2.208 1.389 8.914 Ru
2.208 1.389 13.581 Ru
```

Summary:
Size of the total moment ... 1.4 Bohr magnetons per cell
Symmetry ... Amm2, No. 38
Crystal system ... orthorhombic
Formation energy from the elements ... 0.261 eV per atom
Polymorph energy (0 for the lowest one) ... 0.0514 eV per atom

# 4
Ca2Ac3Y: relaxed, PBE.

```
Ca2Ac3Y
1.0
-2.781 5.383 8.354
2.781 -5.383 8.354
2.781 5.383 -8.354
Ca Ac Y
4 6 2
Cartesian
0.000 2.691 0.038 Ca
2.781 2.691 2.834 Ca
0.000 2.691 5.519 Ca
2.781 2.691 8.316 Ca
2.781 0.000 0.000 Ac
2.781 5.225 -5.538 Ac
2.781 -0.158 5.538 Ac
0.000 0.000 8.354 Ac
0.000 5.541 2.816 Ac
0.000 0.158 13.891 Ac
2.781 2.691 -2.842 Y
0.000 2.691 11.195 Y
```

Summary:
Size of the total moment ... 0.0 Bohr magnetons per cell
Symmetry ... Imma, No. 74
Crystal system ... orthorhombic
Formation energy from the elements ... 0.063 eV per atom